(1)
## SrAgS2Cl (meta-GGA SCAN)

Data for SrAgS2Cl at its PBEsol-relaxed geometry.

a b c (Å): 5.157 4.930 4.930
angles (deg): 90.00 90.00 90.00
Element x y z (fractional)
1 S 0.000 0.500 0.000
2 Cl 0.000 0.000 0.000
3 Sr 0.500 0.000 0.000
4 S 0.000 0.000 0.500
5 Ag 0.500 0.500 0.500

Calculated values
The energy relative to the elements, uncorrected comes out at 0.076 eV per atom.

(2)
## FeSbRh2 (meta-GGA SCAN)

Data for FeSbRh2 at its PBEsol-relaxed geometry.

a b c (Å): 3.375 3.375 5.351
angles (deg): 90.00 90.00 90.00
Site moments in Bohr magnetons follow the coordinates.
Element x y z (fractional)
1 Rh 0.000 0.000 0.964  0.74
2 Rh 0.500 0.500 0.267  0.24
3 Fe 0.500 0.500 0.790  3.37
4 Sb 0.000 0.000 0.479  0.03

Calculated values
The energy relative to the elements, uncorrected comes out at -0.101 eV per atom.

(3)
## TlTePb2 (meta-GGA SCAN)

Data for TlTePb2 at its PBEsol-relaxed geometry.

a b c (Å): 4.052 5.444 6.390
angles (deg): 115.21 108.49 90.00
Element x y z (fractional)
1 Te 0.500 0.000 0.000
2 Tl 0.000 0.500 0.000
3 Pb 0.769 0.769 0.538
4 Pb 0.231 0.231 0.462

Calculated values
The energy relative to the elements, uncorrected comes out at -0.067 eV per atom. As for the distance to the lowest polymorph of the same formula: 0 meV/atom.

(4)
## SrY3Mg (meta-GGA SCAN)

Data for SrY3Mg at its PBEsol-relaxed geometry.

a b c (Å): 5.697 5.697 5.697
angles (deg): 90.00 90.00 90.00
Site moments in Bohr magnetons follow the coordinates.
Element x y z (fractional)
1 Sr 0.500 0.500 0.500  0.03
2 Y 0.000 0.500 0.000  0.07
3 Y 0.000 0.000 0.500  0.07
4 Mg 0.000 0.000 0.000  0.01
5 Y 0.500 0.000 0.000  0.07

Calculated values
The value obtained for the energy of formation is 0.45 eV/atom.

(5)
## Ca2Pd2Au (meta-GGA SCAN)

Data for Ca2Pd2Au at its PBEsol-relaxed geometry.

a b c (Å): 4.073 7.111 7.111
angles (deg): 90.00 90.00 90.00
Element x y z (fractional)
1 Ca 0.500 0.826 0.326
2 Ca 0.500 0.174 0.674
3 Pd 0.000 0.133 0.367
4 Pd 0.000 0.633 0.133
5 Ca 0.500 0.674 0.826
6 Ca 0.500 0.326 0.174
7 Au 0.000 0.500 0.500
8 Au 0.000 0.000 0.000
9 Pd 0.000 0.867 0.633
10 Pd 0.000 0.367 0.867

Calculated values
The value obtained for the energy of formation is -0.76 eV/atom.

(6)
## ZnFe3C (meta-GGA SCAN)

Data for ZnFe3C at its PBEsol-relaxed geometry.

a b c (Å): 3.720 3.720 3.720
angles (deg): 90.00 90.00 90.00
Site moments in Bohr magnetons follow the coordinates.
Element x y z (fractional)
1 Fe 0.000 0.500 0.000  2.32
2 C 0.000 0.000 0.000  -0.14
3 Fe 0.500 0.000 0.000  2.32
4 Zn 0.500 0.500 0.500  -0.13
5 Fe 0.000 0.000 0.500  2.32

Calculated values
The value obtained for the energy of formation is 0.10 eV/atom. As for the distance to the lowest polymorph of the same formula: 0 meV/atom.

(7)
## BaLi4 (meta-GGA SCAN)

Data for BaLi4 at its PBEsol-relaxed geometry.

a b c (Å): 3.694 6.361 6.361
angles (deg): 85.16 73.12 73.12
Element x y z (fractional)
1 Li 0.156 0.468 0.220
2 Li 0.844 0.532 0.780
3 Ba 0.000 0.000 0.000
4 Li 0.624 0.220 0.532
5 Li 0.376 0.780 0.468

Calculated values
The value obtained for the energy of formation is 0.05 eV/atom. As for the distance to the lowest polymorph of the same formula: 56 meV/atom.

(8)
## FePdC2Se (meta-GGA SCAN)

Data for FePdC2Se at its PBEsol-relaxed geometry.

a b c (Å): 3.785 3.785 5.349
angles (deg): 90.00 90.00 90.00
Site moments in Bohr magnetons follow the coordinates.
Element x y z (fractional)
1 C 0.000 0.500 0.000  -0.26
2 Se 0.500 0.500 0.500  0.17
3 Fe 0.000 0.000 0.500  3.53
4 C 0.500 0.000 0.000  -0.26
5 Pd 0.000 0.000 0.000  -0.04

Calculated values
The energy relative to the elements, uncorrected comes out at 1.770 eV per atom.

(9)
## Ca2TlAg (meta-GGA SCAN)

Data for Ca2TlAg at its PBEsol-relaxed geometry.

a b c (Å): 3.688 3.688 7.593
angles (deg): 90.00 90.00 90.00
Element x y z (fractional)
1 Ca 0.000 0.000 0.763
2 Ag 0.500 0.500 0.000
3 Tl 0.500 0.500 0.500
4 Ca 0.000 0.000 0.237

Calculated values
The value obtained for the energy of formation is -0.46 eV/atom.

(10)
## Al2PtAu (meta-GGA SCAN)

Data for Al2PtAu at its PBEsol-relaxed geometry.

a b c (Å): 4.396 4.396 4.396
angles (deg): 60.00 60.00 60.00
Element x y z (fractional)
1 Pt 0.500 0.500 0.500
2 Au 0.000 0.000 0.000
3 Al 0.250 0.250 0.250
4 Al 0.750 0.750 0.750

Calculated values
The value obtained for the energy of formation is -0.81 eV/atom. As for the distance to the lowest polymorph of the same formula: 80 meV/atom.

(11)
## LiZrCd2 (meta-GGA SCAN)

Data for LiZrCd2 at its PBEsol-relaxed geometry.

a b c (Å): 3.008 3.008 10.270
angles (deg): 81.58 81.58 60.00
Element x y z (fractional)
1 Zr 0.000 0.000 0.000
2 Li 0.500 0.500 0.500
3 Cd 0.754 0.754 0.738
4 Cd 0.246 0.246 0.262

Calculated values
The value obtained for the energy of formation is -0.11 eV/atom. As for the distance to the lowest polymorph of the same formula: 127 meV/atom.

(12)
## CaSi2Os (meta-GGA SCAN)

Data for CaSi2Os at its PBEsol-relaxed geometry.

a b c (Å): 4.414 4.414 4.414
angles (deg): 60.00 60.00 60.00
Element x y z (fractional)
1 Si 0.750 0.750 0.750
2 Os 0.000 0.000 0.000
3 Ca 0.500 0.500 0.500
4 Si 0.250 0.250 0.250

Calculated values
The energy relative to the elements, uncorrected comes out at -0.057 eV per atom.

(13)
## TeHAuI2 (meta-GGA SCAN)

Data for TeHAuI2 at its PBEsol-relaxed geometry.

a b c (Å): 3.781 5.515 5.515
angles (deg): 90.00 90.00 90.00
Element x y z (fractional)
1 Au 0.500 0.500 0.500
2 I 0.000 0.500 0.000
3 H 0.000 0.000 0.000
4 I 0.000 0.000 0.500
5 Te 0.500 0.000 0.000

Calculated values
Its total energy is -179.9 eV per cell.

(14)
## Mg2ZnSb (meta-GGA SCAN)

Data for Mg2ZnSb at its PBEsol-relaxed geometry.

a b c (Å): 3.198 4.014 6.412
angles (deg): 90.00 90.00 90.00
Element x y z (fractional)
1 Mg 0.000 0.000 0.270
2 Mg 0.000 0.000 0.730
3 Zn 0.500 0.500 0.500
4 Sb 0.500 0.500 0.000

Calculated values
The energy relative to the elements, uncorrected comes out at -0.124 eV per atom. As for the distance to the lowest polymorph of the same formula: 46 meV/atom.

(15)
## PtPb5 (meta-GGA SCAN)

Data for PtPb5 at its PBEsol-relaxed geometry.

a b c (Å): 3.459 6.306 8.276
angles (deg): 110.74 90.00 105.92
Element x y z (fractional)
1 Pb 0.330 0.661 0.753
2 Pt 0.695 0.389 0.889
3 Pb 0.694 0.389 0.389
4 Pb 0.059 0.117 0.025
5 Pb 0.355 0.709 0.178
6 Pb 0.034 0.069 0.600

Calculated values
The value obtained for the energy of formation is -0.02 eV/atom. As for the distance to the lowest polymorph of the same formula: 3 meV/atom.

(16)
## Cr2TcBr (meta-GGA SCAN)

Data for Cr2TcBr at its PBEsol-relaxed geometry.

a b c (Å): 3.247 3.348 5.848
angles (deg): 90.00 90.00 90.00
Element x y z (fractional)
1 Tc 0.500 0.500 0.000
2 Br 0.500 0.500 0.500
3 Cr 0.000 0.000 0.168
4 Cr 0.000 0.000 0.832

Calculated values
The energy relative to the elements, uncorrected comes out at 0.637 eV per atom.

(17)
## Mg2Sc (meta-GGA SCAN)

Data for Mg2Sc at its PBEsol-relaxed geometry.

a b c (Å): 3.194 3.194 7.019
angles (deg): 103.15 103.15 90.00
Site moments in Bohr magnetons follow the coordinates.
Element x y z (fractional)
1 Mg 0.332 0.332 0.665  0.01
2 Sc 0.000 0.000 0.000  0.32
3 Mg 0.668 0.668 0.335  0.01

Calculated values
The value obtained for the energy of formation is -0.04 eV/atom.

(18)
## SrSc2Ru (meta-GGA SCAN)

Data for SrSc2Ru at its PBEsol-relaxed geometry.

a b c (Å): 4.462 4.462 4.370
angles (deg): 90.00 90.00 90.00
Element x y z (fractional)
1 Sc 0.500 0.000 0.000
2 Sr 0.500 0.500 0.500
3 Sc 0.000 0.500 0.000
4 Ru 0.000 0.000 0.500

Calculated values
The value obtained for the energy of formation is 0.38 eV/atom. As for the distance to the lowest polymorph of the same formula: 430 meV/atom.

(19)
## AsPtI2 (meta-GGA SCAN)

Data for AsPtI2 at its PBEsol-relaxed geometry.

a b c (Å): 5.010 5.010 5.010
angles (deg): 60.00 60.00 60.00
Element x y z (fractional)
1 Pt 0.500 0.500 0.500
2 As 0.000 0.000 0.000
3 I 0.750 0.750 0.750
4 I 0.250 0.250 0.250

Calculated values
The energy relative to the elements, uncorrected comes out at 0.944 eV per atom.

(20)
## Mg2C (meta-GGA SCAN)

Data for Mg2C at its PBEsol-relaxed geometry.

a b c (Å): 5.278 5.278 5.278
angles (deg): 60.00 60.00 60.00
Element x y z (fractional)
1 Mg 0.125 0.125 0.125
2 C 0.500 0.500 0.500
3 C 0.750 0.750 0.750
4 Mg 0.125 0.125 0.625
5 Mg 0.625 0.125 0.125
6 Mg 0.125 0.625 0.125

Calculated values
The value obtained for the energy of formation is 2.00 eV/atom. As for the distance to the lowest polymorph of the same formula: 1711 meV/atom.